No. 1
The following is a GGA-PBE calculation of a geometry-optimized LiRu2Pb structure, from Alexandria via LeMat-Bulk.

Cell lengths 8.8266, 2.9362, 5.0899 Å; angles 90.00, 99.24, 90.00 degrees
With the nearest neighbours (Å) after each atom.
Space group C2/m (No. 12)
One atom of each set of equivalent atoms:
Li1 0.0000 0.0000 0.0000 [2 per cell]  6 Ru 2.60-2.72
Ru1 0.2499 0.0000 0.7901 [4 per cell]  2 Ru 2.59, 3 Li 2.60-2.72, 3 Pb 2.85-2.86
Pb1 0.0000 0.5000 0.5000 [2 per cell]  6 Ru 2.85-2.86, 2 Pb 2.94, 4 Li 2.94

Values from the calculation:
Crystal system: monoclinic
Mass density (g/cm3): 10.618
DOS(E_F) (states/eV per atom): 0.891
Total magnetization (μB per atom): 0.000
VASP energy (eV per cell): -45.54

No. 2
The following is a GGA-PBE calculation of a geometry-optimized LiRu2Pb structure, from Alexandria via LeMat-Bulk.

Cell lengths 3.9234, 3.9234, 8.3761 Å; angles 90.00, 90.00, 90.00 degrees
With the nearest neighbours (Å) after each atom.
Space group I4/mmm (No. 139)
One atom of each set of equivalent atoms:
Li1 0.0000 0.0000 0.0000 [2 per cell]  4 Pb 2.77, 8 Ru 2.87
Ru1 0.0000 0.5000 0.2500 [4 per cell]  4 Ru 2.77, 4 Pb 2.87, 4 Li 2.87
Pb1 0.0000 0.0000 0.5000 [2 per cell]  4 Li 2.77, 8 Ru 2.87

Values from the calculation:
Crystal system: tetragonal
Mass density (g/cm3): 10.723
DOS(E_F) (states/eV per atom): 1.306
Total magnetization (μB per atom): 0.454
VASP energy (eV per cell): -45.24

No. 3
The following is a GGA-PBE calculation of a geometry-optimized LiRu2Pb structure, from Alexandria via LeMat-Bulk.

Cell lengths 5.2332, 8.0798, 3.1138 Å; angles 90.00, 90.00, 90.00 degrees
With the nearest neighbours (Å) after each atom.
Space group Cmmm (No. 65)
One atom of each set of equivalent atoms:
Li1 0.0000 0.0000 0.0000 [2 per cell]  2 Pb 2.62, 8 Ru 2.87
Ru1 0.2500 0.2500 0.5000 [4 per cell]  2 Ru 2.62, 4 Pb 2.87, 4 Li 2.87
Pb1 0.0000 0.5000 0.0000 [2 per cell]  2 Li 2.62, 8 Ru 2.87

Values from the calculation:
Crystal system: orthorhombic
Mass density (g/cm3): 10.500
DOS(E_F) (states/eV per atom): 1.030
Total magnetization (μB per atom): 0.000
VASP energy (eV per cell): -44.36